This record from Alexandria describes crystalline CrFeS3 at its relaxed geometry. The functional is GGA-PBEsol.

Calculated values
The calculation puts the formation energy (no corrections) at 0.496 eV/atom. The calculation puts the total energy at -5.975 eV per atom. The calculation puts the density of states at the Fermi level at 7.90 states/eV/cell.

Unit cell a=4.4447 b=4.4447 c=4.4447 alpha=90.00 beta=90.00 gamma=90.00
With the nearest neighbours (Å) after each atom.
Fractional coordinates of all 5 atoms:
1 S 0.5000 0.0000 0.0000  2 Cr 2.22
2 S 0.0000 0.5000 0.0000  2 Cr 2.22
3 S 0.0000 0.0000 0.5000  2 Cr 2.22
4 Fe 0.5000 0.5000 0.5000  12 S 3.14
5 Cr 0.0000 0.0000 0.0000  6 S 2.22

---

This record from Alexandria describes crystalline BaLaAu2 at its relaxed geometry. The functional is GGA-PBEsol.

Calculated values
As for the formation energy: -653 meV/atom. The calculation puts the total energy at -4.488 eV per atom. The calculation puts the density of states at the Fermi level at 3.17 states/eV/cell.

Unit cell a=4.0887 b=4.8821 c=6.1666 alpha=90.00 beta=109.36 gamma=90.00
With the nearest neighbours (Å) after each atom.
Fractional coordinates of all 4 atoms:
1 Au 0.9498 0.0000 0.8995  2 Au 3.07, 3 La 3.14-3.44, 4 Ba 3.27
2 Au 0.7896 0.5000 0.5791  2 Au 3.07, 3 Ba 3.19-3.33, 4 La 3.23
3 Ba 0.5154 0.5000 0.0308  7 Au 3.19-3.33
4 La 0.2453 0.0000 0.4905  7 Au 3.14-3.44

---

This record from Alexandria describes crystalline In5Hg3 at its relaxed geometry. The functional is GGA-PBEsol.

Calculated values
As for the formation energy: -5 meV/atom. The calculation puts the total energy at -2.082 eV per atom. The calculation puts the density of states at the Fermi level at 6.48 states/eV/cell.

Unit cell a=6.0138 b=8.6592 c=8.6592 alpha=83.07 beta=69.68 gamma=69.68
With the nearest neighbours (Å) after each atom.
Fractional coordinates of all 16 atoms:
1 In 0.7722 0.2999 0.1556  4 Hg 3.01-3.13, 1 In 3.25
2 In 0.7278 0.8444 0.7001  4 Hg 3.01-3.13, 1 In 3.25
3 In 0.0722 0.1556 0.7001  4 Hg 3.01-3.13, 1 In 3.25
4 In 0.7500 0.5000 0.5000  2 In 3.01, 4 Hg 3.17
5 In 0.4278 0.2999 0.8444  4 Hg 3.01-3.13, 1 In 3.25
6 In 0.2722 0.1556 0.2999  4 Hg 3.01-3.13, 1 In 3.25
7 In 0.2278 0.7001 0.8444  4 Hg 3.01-3.13, 1 In 3.25
8 In 0.9278 0.8444 0.2999  4 Hg 3.01-3.13, 1 In 3.25
9 In 0.2500 0.5000 0.5000  2 In 3.01, 4 Hg 3.17
10 In 0.5722 0.7001 0.1556  4 Hg 3.01-3.13, 1 In 3.25
11 Hg 0.2500 0.0000 0.0000  2 Hg 3.01, 8 In 3.13
12 Hg 0.3285 0.8430 0.5000  6 In 3.01-3.17
13 Hg 0.1715 0.5000 0.1570  6 In 3.01-3.17
14 Hg 0.8285 0.5000 0.8430  6 In 3.01-3.17
15 Hg 0.7500 0.0000 0.0000  2 Hg 3.01, 8 In 3.13
16 Hg 0.6715 0.1570 0.5000  6 In 3.01-3.17

---

This record from Alexandria describes crystalline KBi3Rh at its relaxed geometry. The functional is GGA-PBEsol.

Calculated values
As for the formation energy: 1832 meV/atom. The calculation puts the total energy at -2.593 eV per atom. The calculation puts the density of states at the Fermi level at 8.03 states/eV/cell.

Unit cell a=5.5887 b=5.5887 c=5.5887 alpha=90.00 beta=90.00 gamma=90.00
With the nearest neighbours (Å) after each atom.
Fractional coordinates of all 5 atoms:
1 K 0.0000 0.0000 0.0000  6 Bi 2.79
2 Bi 0.0000 0.5000 0.0000  2 K 2.79
3 Bi 0.0000 0.0000 0.5000  2 K 2.79
4 Bi 0.5000 0.0000 0.0000  2 K 2.79
5 Rh 0.5000 0.5000 0.5000  12 Bi 3.95

---

This record from Alexandria describes crystalline As2PtPb at its relaxed geometry. The functional is GGA-PBEsol.

Calculated values
As for the formation energy: 29 meV/atom. The calculation puts the total energy at -5.265 eV per atom. The calculation puts the density of states at the Fermi level at 1.89 states/eV/cell.

Unit cell a=3.3120 b=3.3120 c=7.4099 alpha=90.00 beta=90.00 gamma=90.00
With the nearest neighbours (Å) after each atom.
Fractional coordinates of all 4 atoms:
1 Pb 0.5000 0.5000 0.0000  4 Pb 3.31, 8 As 3.31, 2 Pt 3.70
2 Pt 0.5000 0.5000 0.5000  8 As 2.71
3 As 0.0000 0.0000 0.3163  4 Pt 2.71, 1 As 2.72
4 As 0.0000 0.0000 0.6837  4 Pt 2.71, 1 As 2.72

---

This record from Alexandria describes crystalline CuAg3 at its relaxed geometry. The functional is GGA-PBEsol.

Calculated values
As for the formation energy: 88 meV/atom. The calculation puts the total energy at -3.478 eV per atom. The calculation puts the density of states at the Fermi level at 1.11 states/eV/cell.

Unit cell a=2.7961 b=4.5584 c=4.8437 alpha=90.00 beta=90.00 gamma=90.00
With the nearest neighbours (Å) after each atom.
Fractional coordinates of all 4 atoms:
1 Ag 0.0000 0.0000 0.0071  10 Ag 2.75-2.84, 2 Cu 2.77
2 Ag 0.5000 0.5000 0.8309  4 Cu 2.79-2.80, 8 Ag 2.80-2.81
3 Ag 0.5000 0.0000 0.4960  8 Ag 2.75-2.84, 4 Cu 2.79
4 Cu 0.0000 0.5000 0.3327  10 Ag 2.77-2.80, 2 Cu 2.80

---

This record from Alexandria describes crystalline LiFe2Ru at its relaxed geometry. The functional is GGA-PBEsol.

Calculated values
As for the formation energy: 284 meV/atom. The calculation puts the total energy at -7.232 eV per atom. The calculation puts the density of states at the Fermi level at 3.97 states/eV/cell.

Unit cell a=2.5052 b=3.7970 c=4.8734 alpha=90.00 beta=90.00 gamma=90.00
With the nearest neighbours (Å) after each atom.
Fractional coordinates of all 4 atoms:
1 Fe 0.0000 0.0000 0.7480  4 Fe 2.42-2.51, 4 Ru 2.58, 4 Li 2.58
2 Fe 0.0000 0.0000 0.2520  4 Fe 2.42-2.51, 4 Ru 2.58, 4 Li 2.58
3 Li 0.5000 0.5000 0.0000  2 Ru 2.44, 2 Li 2.51, 8 Fe 2.58
4 Ru 0.5000 0.5000 0.5000  2 Li 2.44, 2 Ru 2.51, 8 Fe 2.58

---

This record from Alexandria describes crystalline LiBSbO3 at its relaxed geometry. The functional is GGA-PBEsol.

Calculated values
The calculation puts the formation energy (no corrections) at -1.880 eV/atom. The calculation puts the total energy at -6.761 eV per atom.

Unit cell a=5.0851 b=5.6768 c=6.1475 alpha=93.65 beta=97.42 gamma=116.60
With the nearest neighbours (Å) after each atom.
Fractional coordinates of all 12 atoms:
1 Li 0.1424 0.4107 0.6563  3 O 1.88-1.97
2 Li 0.8576 0.5893 0.3437  3 O 1.88-1.97
3 Sb 0.5168 0.9849 0.2403  3 O 2.08-2.29
4 Sb 0.4832 0.0151 0.7597  3 O 2.08-2.29
5 B 0.1465 0.1819 0.2628  3 O 1.38-1.39
6 B 0.8535 0.8181 0.7372  3 O 1.38-1.39
7 O 0.9683 0.0906 0.7764  1 B 1.38
8 O 0.5469 0.6778 0.7278  1 B 1.39
9 O 0.0317 0.9094 0.2236  1 B 1.38
10 O 0.9732 0.3027 0.3090  1 B 1.38
11 O 0.0268 0.6973 0.6910  1 B 1.38
12 O 0.4531 0.3222 0.2722  1 B 1.39